# AcVGe2O8 | Alexandria | PBE with a Hubbard U | optimized geometry
# E_tot: -249.439 eV/cell
# Spin magnetization: 0.0 μB/cell
data_AcVGe2O8
_symmetry_space_group_name_H-M 'R 3 2'
_symmetry_Int_Tables_number 155
_symmetry_space_group_name_Hall 'R 3 2"'
_cell_length_a 4.8099
_cell_length_b 4.8099
_cell_length_c 22.7818
_cell_angle_alpha 90.00
_cell_angle_beta 90.00
_cell_angle_gamma 120.00
loop_
_atom_site_label
_atom_site_type_symbol
_atom_site_fract_x
_atom_site_fract_y
_atom_site_fract_z
Ac1 Ac 0.0000 0.0000 0.0000
V1 V 0.0000 0.0000 0.5000
Ge1 Ge 0.0000 0.0000 0.2385
O1 O 0.0000 0.0000 0.3154
O2 O 0.0166 0.3126 0.5542